Record 1
{"formula": "Mg2HBr", "functional": "PBE-GGA", "state": "optimized geometry", "lattice": [[5.360, 0.000, 0.000], [0.000, 5.360, 0.000], [2.680, 2.680, 6.185]], "species": ["Mg", "H", "Br", "Br", "Mg", "Mg", "Mg", "H"], "fractional_positions": [[0.505, 0.125, 0.250], [0.250, 0.750, 0.500], [0.750, 0.250, 0.500], [0.000, 0.000, 0.000], [0.375, 0.495, 0.750], [0.875, 0.755, 0.750], [0.245, 0.625, 0.250], [0.500, 0.500, 0.000]], "vol_a3_per_cell": 177.7, "e_above_lowest_polymorph_ev_per_atom": 0.000, "dos_at_fermi_per_ev_cell": 0.367}



Record 2
{"formula": "Mg2H6Br", "functional": "PBE-GGA", "state": "optimized geometry", "lattice": [[-3.658, -3.336, -0.314], [-0.164, -3.807, 3.175], [-3.515, -0.164, 3.496]], "species": ["Br", "H", "H", "H", "Mg", "Mg", "H", "H", "H"], "fractional_positions": [[0.000, 0.000, 0.000], [0.635, 0.635, 0.365], [0.635, 0.365, 0.365], [0.365, 0.365, 0.635], [0.750, 0.750, 0.750], [0.250, 0.250, 0.250], [0.365, 0.635, 0.635], [0.365, 0.635, 0.365], [0.635, 0.365, 0.635]], "vol_a3_per_cell": 86.3, "total_energy_ev_per_atom": -2.249, "dos_at_fermi_per_ev_cell": 1.352}



Record 3
{"formula": "Mg3HBr", "functional": "PBE-GGA", "state": "optimized geometry", "lattice": [[-3.473, -0.438, -3.167], [3.110, -1.548, -3.196], [-0.743, -4.438, 1.427]], "species": ["Mg", "Br", "Mg", "Mg", "H"], "fractional_positions": [[0.000, 0.000, 0.500], [0.500, 0.500, 0.500], [0.500, 0.000, 0.000], [0.000, 0.500, 0.000], [0.000, 0.000, 0.000]], "vol_a3_per_cell": 105.2, "e_above_lowest_polymorph_ev_per_atom": 0.000, "dos_at_fermi_per_ev_cell": 2.508}



Record 4
{"formula": "Mg3HBr", "functional": "PBE-GGA", "state": "optimized geometry", "lattice": [[5.658, 0.000, 0.000], [0.000, 5.658, 0.000], [0.000, 0.000, 5.658]], "species": ["Mg", "H", "Mg", "Br", "Mg"], "fractional_positions": [[0.000, 0.500, 0.000], [0.500, 0.500, 0.500], [0.000, 0.000, 0.500], [0.000, 0.000, 0.000], [0.500, 0.000, 0.000]], "vol_a3_per_cell": 181.2, "e_above_lowest_polymorph_ev_per_atom": 0.743, "dos_at_fermi_per_ev_cell": 5.493}



Record 5
{"formula": "Mg2HBr", "functional": "PBE-GGA", "state": "optimized geometry", "lattice": [[2.219, -4.235, -0.744], [-2.360, -3.619, -2.179], [1.227, -1.333, -4.487]], "species": ["Mg", "H", "Mg", "Br"], "fractional_positions": [[0.250, 0.250, 0.250], [0.000, 0.000, 0.000], [0.750, 0.750, 0.750], [0.500, 0.500, 0.500]], "vol_a3_per_cell": 80.1, "e_above_lowest_polymorph_ev_per_atom": 0.363, "dos_at_fermi_per_ev_cell": 1.449}



Record 6
{"formula": "MgHBr2", "functional": "PBE-GGA", "state": "optimized geometry", "lattice": [[0.000, 3.432, 3.432], [3.432, 0.000, 3.432], [3.432, 3.432, 0.000]], "species": ["H", "Br", "Mg", "Br"], "fractional_positions": [[0.000, 0.000, 0.000], [0.750, 0.750, 0.750], [0.500, 0.500, 0.500], [0.250, 0.250, 0.250]], "vol_a3_per_cell": 80.9, "total_energy_ev_per_atom": -2.330, "dos_at_fermi_per_ev_cell": 0.000}



Copy entry 5 word for word.
{"formula": "Mg2HBr", "functional": "PBE-GGA", "state": "optimized geometry", "lattice": [[2.219, -4.235, -0.744], [-2.360, -3.619, -2.179], [1.227, -1.333, -4.487]], "species": ["Mg", "H", "Mg", "Br"], "fractional_positions": [[0.250, 0.250, 0.250], [0.000, 0.000, 0.000], [0.750, 0.750, 0.750], [0.500, 0.500, 0.500]], "vol_a3_per_cell": 80.1, "e_above_lowest_polymorph_ev_per_atom": 0.363, "dos_at_fermi_per_ev_cell": 1.449}



Number 5 is which compound?
Mg2HBr